A plane-wave DFT calculation with PBE was carried out for crystalline NaTlS2 at its relaxed geometry.

```
NaTlS2
1.0
1.445 -11.551 0.000
1.445 11.551 0.000
0.000 0.000 5.477
Na Tl S
2 2 4
direct
0.186 0.814 0.750
0.814 0.186 0.250
0.430 0.570 0.750
0.570 0.430 0.250
0.309 0.691 0.750
0.432 0.568 0.250
0.568 0.432 0.750
0.691 0.309 0.250
```

## Properties
Raw total energy = -3.20 eV per atom
Uncorrected formation energy = -212 meV per atom

A plane-wave DFT calculation with PBE was carried out for crystalline Sr2Hg3Pd5 at its relaxed geometry.

```
Sr2Hg3Pd5
1.0
-5.957 6.287 3.019
5.957 -6.287 3.019
5.957 6.287 -3.019
Sr Hg Pd
4 6 10
direct
0.235 0.125 0.360
0.265 0.625 0.891
0.735 0.375 0.109
0.765 0.875 0.640
0.141 0.379 0.521
0.250 0.250 0.000
0.359 0.879 0.238
0.641 0.121 0.762
0.750 0.750 0.000
0.859 0.621 0.479
0.145 0.867 0.012
0.250 0.000 0.750
0.250 0.500 0.250
0.250 0.750 0.500
0.355 0.367 0.722
0.645 0.633 0.278
0.750 0.000 0.250
0.750 0.250 0.500
0.750 0.500 0.750
0.855 0.133 0.988
```

## Properties
Calculated formation energy = -0.392 eV/atom
Raw total energy = -3.42 eV per atom

A plane-wave DFT calculation with PBE was carried out for crystalline Sr2InSb4Pd3 at its relaxed geometry.

```
Sr2InSb4Pd3
1.0
4.605 0.000 0.000
0.000 4.605 0.000
0.000 0.000 11.869
Sr In Sb Pd
2 1 4 3
direct
0.000 0.500 0.244
0.500 0.000 0.756
0.000 0.000 0.500
0.000 0.000 0.000
0.000 0.500 0.647
0.500 0.000 0.353
0.500 0.500 0.000
0.000 0.500 0.871
0.500 0.000 0.129
0.500 0.500 0.500
```

## Properties
Raw total energy = -4.48 eV per atom
Uncorrected formation energy = -659 meV per atom

A plane-wave DFT calculation with PBE was carried out for crystalline SrSb3Pb at its relaxed geometry.

```
SrSb3Pb
1.0
5.943 0.000 0.000
0.000 5.943 0.000
0.000 0.000 5.943
Sr Sb Pb
1 3 1
direct
0.000 0.000 0.000
0.000 0.000 0.500
0.000 0.500 0.000
0.500 0.000 0.000
0.500 0.500 0.500
```

## Properties
Energy above the most stable polymorph in this dataset = 185.8 kJ/mol of formula units
Raw total energy = -2.89 eV per atom
Uncorrected formation energy = 662 meV per atom

A plane-wave DFT calculation with PBE was carried out for crystalline Li3Pa2VN6 at its relaxed geometry.

```
Li3Pa2VN6
1.0
2.848 -5.083 0.000
2.848 5.083 0.000
-1.615 0.000 5.041
Li Pa V N
3 2 1 6
direct
0.000 0.000 0.000
0.374 0.626 0.000
0.626 0.374 0.000
0.167 0.833 0.500
0.833 0.167 0.500
0.500 0.500 0.500
0.136 0.435 0.290
0.248 0.248 0.715
0.435 0.136 0.290
0.565 0.864 0.710
0.752 0.752 0.285
0.864 0.565 0.710
```

## Properties
Raw total energy = -8.03 eV per atom
Uncorrected formation energy = -1046 meV per atom

A plane-wave DFT calculation with PBE was carried out for crystalline Er2Cd2Ga at its relaxed geometry.

```
Er2Cd2Ga
1.0
2.248 -7.783 0.000
2.248 7.783 0.000
0.000 0.000 3.369
Er Cd Ga
2 2 1
direct
0.103 0.897 0.000
0.897 0.103 0.000
0.303 0.697 0.500
0.697 0.303 0.500
0.500 0.500 0.500
```

## Properties
Calculated formation energy = -0.310 eV/atom
Raw total energy = -3.11 eV per atom

A plane-wave DFT calculation with PBE was carried out for crystalline TbPmNiSn at its relaxed geometry.

```
TbPmNiSn
1.0
0.000 3.663 3.663
3.663 0.000 3.663
3.663 3.663 0.000
Tb Pm Ni Sn
1 1 1 1
direct
0.000 0.000 0.000
0.500 0.500 0.500
0.250 0.250 0.250
0.750 0.750 0.750
```

## Properties
Calculated formation energy = -0.406 eV/atom
Raw total energy = -5.20 eV per atom

A plane-wave DFT calculation with PBE was carried out for crystalline Tb5Ho4Er at its relaxed geometry.

```
Tb5Ho4Er
1.0
3.537 0.000 0.000
-1.757 6.534 0.000
-0.025 -1.910 13.663
Tb Ho Er
5 4 1
direct
0.000 0.000 0.000
0.048 0.083 0.383
0.310 0.625 0.415
0.690 0.375 0.585
0.952 0.917 0.617
0.351 0.672 0.791
0.425 0.797 0.192
0.575 0.203 0.808
0.649 0.328 0.209
0.000 0.500 0.000
```

## Properties
Energy above the most stable polymorph in this dataset = 0.0 kJ/mol of formula units
Calculated formation energy = 0.059 eV/atom
Raw total energy = -4.54 eV per atom

A plane-wave DFT calculation with PBE was carried out for crystalline Ac3Ce4Ge4 at its relaxed geometry.

```
Ac3Ce4Ge4
1.0
-2.103 4.849 7.855
2.103 -4.849 7.855
2.103 4.849 -7.855
Ac Ce Ge
3 4 4
direct
0.000 0.000 0.000
0.396 0.896 0.500
0.604 0.104 0.500
0.027 0.308 0.719
0.411 0.692 0.719
0.589 0.308 0.281
0.973 0.692 0.281
0.227 0.227 0.000
0.276 0.500 0.776
0.724 0.500 0.224
0.773 0.773 0.000
```

## Properties
Calculated formation energy = -0.511 eV/atom
Raw total energy = -5.47 eV per atom

A plane-wave DFT calculation with PBE was carried out for crystalline La2ThPa at its relaxed geometry.

```
La2ThPa
1.0
1.705 0.985 12.320
-1.705 0.985 12.320
0.000 -1.969 12.320
La Th Pa
2 1 1
direct
0.086 0.086 0.086
0.914 0.914 0.914
0.500 0.500 0.500
0.000 0.000 0.000
```

## Properties
Energy above the most stable polymorph in this dataset = 37.3 kJ/mol of formula units
Calculated formation energy = 0.308 eV/atom
Raw total energy = -6.39 eV per atom

A plane-wave DFT calculation with PBE was carried out for crystalline TaTe2Pt at its relaxed geometry.

```
TaTe2Pt
1.0
1.771 1.022 8.884
-1.771 1.022 8.884
0.000 -2.045 8.884
Ta Te Pt
1 2 1
direct
0.000 0.000 0.000
0.404 0.404 0.404
0.596 0.596 0.596
0.500 0.500 0.500
```

## Properties
Raw total energy = -5.99 eV per atom
Uncorrected formation energy = 59 meV per atom

A plane-wave DFT calculation with PBE was carried out for crystalline CePu2Tl3Te6 at its relaxed geometry.

```
CePu2Tl3Te6
1.0
3.937 -6.818 0.000
3.937 6.818 0.000
-2.625 0.000 8.142
Ce Pu Tl Te
1 2 3 6
direct
0.000 0.000 0.000
0.333 0.667 0.000
0.667 0.333 0.000
0.167 0.833 0.500
0.500 0.500 0.500
0.833 0.167 0.500
0.072 0.407 0.215
0.263 0.263 0.785
0.407 0.072 0.215
0.593 0.928 0.785
0.737 0.737 0.215
0.928 0.593 0.785
```

## Properties
Raw total energy = -5.90 eV per atom
Uncorrected formation energy = -853 meV per atom